A plane-wave DFT calculation with GGA-PBE was carried out for a relaxed structure of ErCuI6.

Computed properties:
Mass density = 4.51 Mg/m³
Formation energy (no corrections) = -605.6 meV/atom
SG = No. 2
V = 45.7 Å³/atom
Total magnetization = 0.0 μB/cell

Cell and atoms, written as extended XYZ:
```
8
Lattice="6.2455 0.0000 0.0000 0.6448 7.7165 0.0000 2.3884 2.8299 7.5820" Properties=species:S:1:pos:R:3 pbc="T T T"
Er 0.0000 0.0000 0.0000
Cu 3.4451 3.8582 0.0000
I 1.5753 7.2962 2.7269
I 3.9791 5.1984 6.4416
I 5.0259 8.6774 6.1844
I 4.2527 1.8690 1.3977
I 5.2996 5.3480 1.1405
I 7.7034 3.2502 4.8551
```